VASP calculation (SCAN) on a PBEsol-optimized structure of SbCl.

The structure belongs to space group Pmma (No. 51); the cell edges are 6.093, 3.138 and 5.347 Å and the angles 90.00°, 90.00° and 90.00°. Symmetry generates all atoms from Sb at (0.250, 0.000, 0.046) and Cl at (0.250, 0.500, 0.634).

The excess energy over the best structure of this formula in the dataset is 0 meV per atom. As for the raw formation energy: -221 meV/atom. As for the volume: 25.56 A^3/atom. Its total energy is -22.84 eV per atom. The calculation puts the mass density at 5.1 g cm⁻³.

=====

VASP calculation (SCAN) on a PBEsol-optimized structure of Hg2PCl.

The structure belongs to space group I-42d (No. 122); the cell edges are 5.896, 5.896 and 12.850 Å and the angles 90.00°, 90.00° and 90.00°. Symmetry generates all atoms from Hg at (0.178, 0.250, 0.125), P at (0.000, 0.000, 0.000) and Cl at (0.000, 0.000, 0.500).

The excess energy over the best structure of this formula in the dataset is 0 meV per atom. As for the raw formation energy: -222 meV/atom. As for the volume: 27.92 A^3/atom. Its total energy is -38.90 eV per atom. The calculation puts the mass density at 7.0 g cm⁻³.

=====

VASP calculation (SCAN) on a PBEsol-optimized structure of LiFeSe2.

The structure belongs to space group P4/mmm (No. 123); the cell edges are 3.080, 3.080 and 6.704 Å and the angles 90.00°, 90.00° and 90.00°. Symmetry generates all atoms from Li at (0.000, 0.000, 0.000), Fe at (0.000, 0.000, 0.500) and Se at (0.500, 0.500, 0.276).

As for the raw formation energy: -310 meV/atom. As for the volume: 15.90 A^3/atom. Its total energy is -15.48 eV per atom. The calculation puts the mass density at 5.8 g cm⁻³.

=====

VASP calculation (SCAN) on a PBEsol-optimized structure of Cs3LiCr.

The structure belongs to space group Pm-3m (No. 221); the cell edges are 7.086, 7.086 and 7.086 Å and the angles 90.00°, 90.00° and 90.00°. Symmetry generates all atoms from Cs at (0.000, 0.000, 0.500), Li at (0.000, 0.000, 0.000) and Cr at (0.500, 0.500, 0.500).

The calculation puts the energy of formation from the pure elements at 3.3 eV/f.u. As for the volume: 71.16 A^3/atom. Its total energy is -26.18 eV per atom. The calculation puts the mass density at 2.1 g cm⁻³.

=====

The lowest mass density belongs to which entry?
Cs3LiCr

=====

The highest mass density belongs to which entry?
Hg2PCl

=====

What is the mass density in the third record?
5.8 g cm⁻³

=====

The highest mass density belongs to which entry?
Hg2PCl